# 1
DFT (PBE) results for a relaxed structure of ZrFe2Cu.

Calculated formation energy (eV/atom): 0.210
DOS at the Fermi energy (states/eV/f.u.): 3.77
M_tot (μB per formula unit): 3.75
Space group: C2/m, No. 12

Cell: 5.0752 4.8978 2.7208 Å, 82.81 78.02 116.68°
With the nearest neighbours (Å) after each atom.
Fractional coordinates of all 4 atoms:
Cu: 0.5000 0.0000 0.5000  4 Fe 2.62, 2 Zr 2.65, 2 Cu 2.72
Fe: 0.0000 0.5000 0.5000  2 Cu 2.62, 2 Zr 2.62, 4 Fe 2.65-2.72
Fe: 0.0000 0.0000 0.0000  2 Zr 2.62, 2 Cu 2.62, 4 Fe 2.65-2.72
Zr: 0.5000 0.5000 0.0000  4 Fe 2.62, 2 Cu 2.65, 2 Zr 2.72

***

# 2
DFT (PBE) results for a relaxed structure of ZrFe2Cu.

Calculated formation energy (eV/atom): 0.057
DOS at the Fermi energy (states/eV/f.u.): 4.26
M_tot (μB per formula unit): 4.13
Space group: F-43m, No. 216

Cell: 4.3380 4.3380 4.3380 Å, 60.00 60.00 60.00°
With the nearest neighbours (Å) after each atom.
Fractional coordinates of all 4 atoms:
Cu: 0.5000 0.5000 0.5000  4 Zr 2.66, 4 Fe 2.66
Zr: 0.7500 0.7500 0.7500  4 Cu 2.66, 4 Fe 2.66
Fe: 0.2500 0.2500 0.2500  4 Fe 2.66, 4 Cu 2.66
Fe: 0.0000 0.0000 0.0000  4 Fe 2.66, 4 Zr 2.66

***

# 3
DFT (PBE) results for a relaxed structure of ZrFeCu2.

Calculated formation energy (eV/atom): 0.002
DOS at the Fermi energy (states/eV/f.u.): 0.43
M_tot (μB per formula unit): 0.00
Space group: P4/mmm, No. 123

Cell: 3.6280 3.6280 4.2324 Å, 90.00 90.00 90.00°
With the nearest neighbours (Å) after each atom.
Fractional coordinates of all 4 atoms:
Fe: 0.5000 0.0000 0.5000  4 Zr 2.57, 8 Cu 2.79
Cu: 0.5000 0.5000 0.0000  4 Cu 2.57, 4 Zr 2.79, 4 Fe 2.79
Cu: 0.0000 0.0000 0.0000  4 Cu 2.57, 4 Zr 2.79, 4 Fe 2.79
Zr: 0.0000 0.5000 0.5000  4 Fe 2.57, 8 Cu 2.79

***

# 4
DFT (PBE) results for a relaxed structure of ZrFe2Cu.

Calculated formation energy (eV/atom): 0.452
DOS at the Fermi energy (states/eV/f.u.): 4.63
M_tot (μB per formula unit): 0.00
Space group: I-42d, No. 122

Cell: 3.7550 3.7550 8.9696 Å, 77.92 77.92 90.00°
With the nearest neighbours (Å) after each atom.
Fractional coordinates of all 8 atoms:
Fe: 0.8750 0.7767 0.7500  2 Fe 2.20, 2 Cu 2.41
Fe: 0.5267 0.1250 0.2500  2 Fe 2.20, 2 Cu 2.41
Fe: 0.3750 0.4733 0.7500  2 Fe 2.20, 2 Cu 2.41
Fe: 0.2233 0.6250 0.2500  2 Fe 2.20, 2 Cu 2.41
Zr: 0.0000 0.0000 0.0000  4 Cu 2.66, 4 Fe 2.68
Zr: 0.7500 0.2500 0.5000  4 Cu 2.66, 4 Fe 2.68
Cu: 0.5000 0.5000 0.0000  4 Fe 2.41, 4 Zr 2.66
Cu: 0.2500 0.7500 0.5000  4 Fe 2.41, 4 Zr 2.66

***

# 5
DFT (PBE) results for a relaxed structure of ZrFe2Cu.

Calculated formation energy (eV/atom): 0.205
DOS at the Fermi energy (states/eV/f.u.): 5.14
M_tot (μB per formula unit): 4.13
Space group: P2/m, No. 10

Cell: 4.3642 2.7106 4.9154 Å, 83.43 90.00 90.00°
With the nearest neighbours (Å) after each atom.
Fractional coordinates of all 4 atoms:
Cu: 0.5000 0.7500 0.7500  4 Fe 2.56, 2 Zr 2.67, 2 Cu 2.71
Fe: 0.0000 0.9715 0.9811  2 Cu 2.56, 5 Fe 2.58-2.78, 2 Zr 2.70
Fe: 0.0000 0.5285 0.5189  2 Cu 2.56, 5 Fe 2.58-2.78, 2 Zr 2.70
Zr: 0.5000 0.2500 0.2500  4 Cu 2.67-2.94, 4 Fe 2.70, 2 Zr 2.71

***

# 6
DFT (PBE) results for a relaxed structure of ZrFe2Cu.

Calculated formation energy (eV/atom): 0.006
DOS at the Fermi energy (states/eV/f.u.): 2.80
M_tot (μB per formula unit): 2.70
Space group: P4/mmm, No. 123

Cell: 3.8524 3.8555 3.7312 Å, 90.00 90.00 90.00°
With the nearest neighbours (Å) after each atom.
Fractional coordinates of all 4 atoms:
Fe: 0.0000 0.0000 0.0000  4 Zr 2.68, 4 Cu 2.68, 4 Fe 2.73
Fe: 0.5000 0.5000 0.0000  4 Cu 2.68, 4 Zr 2.68, 4 Fe 2.73
Zr: 0.5000 0.0000 0.5000  8 Fe 2.68, 4 Cu 2.73
Cu: 0.0000 0.5000 0.5000  8 Fe 2.68, 4 Zr 2.73

***

# 7
DFT (PBE) results for a relaxed structure of ZrFe3Cu.

Calculated formation energy (eV/atom): 1.680
DOS at the Fermi energy (states/eV/f.u.): 5.35
Distance to the lowest polymorph of the same formula (eV/atom): 0.857
M_tot (μB per formula unit): 5.65
Space group: Pm-3m, No. 221

Cell: 4.5539 4.5539 4.5539 Å, 90.00 90.00 90.00°
With the nearest neighbours (Å) after each atom.
Fractional coordinates of all 5 atoms:
Fe: 0.0000 0.0000 0.5000  2 Zr 2.28
Fe: 0.5000 0.0000 0.0000  2 Zr 2.28
Fe: 0.0000 0.5000 0.0000  2 Zr 2.28
Cu: 0.5000 0.5000 0.5000  12 Fe 3.22
Zr: 0.0000 0.0000 0.0000  6 Fe 2.28

***

# 8
DFT (PBE) results for a relaxed structure of Zr2FeCu2.

Calculated formation energy (eV/atom): 0.088
DOS at the Fermi energy (states/eV/f.u.): 5.68
M_tot (μB per formula unit): 0.00
Space group: P4/mbm, No. 127

Cell: 6.7195 6.7195 3.6084 Å, 90.00 90.00 90.00°
With the nearest neighbours (Å) after each atom.
Fractional coordinates of all 10 atoms:
Zr: 0.3176 0.1824 0.5000  6 Cu 2.57-2.77
Zr: 0.6824 0.8176 0.5000  6 Cu 2.57-2.77
Zr: 0.8176 0.3176 0.5000  6 Cu 2.57-2.77
Zr: 0.1824 0.6824 0.5000  6 Cu 2.57-2.77
Cu: 0.6245 0.1245 0.0000  1 Cu 2.37, 2 Zr 2.57
Cu: 0.3755 0.8755 0.0000  1 Cu 2.37, 2 Zr 2.57
Cu: 0.8755 0.6245 0.0000  1 Cu 2.37, 2 Zr 2.57
Cu: 0.1245 0.3755 0.0000  1 Cu 2.37, 2 Zr 2.57
Fe: 0.5000 0.5000 0.0000  4 Cu 2.66
Fe: 0.0000 0.0000 0.0000  4 Cu 2.66

***

# 9
DFT (PBE) results for a relaxed structure of Zr2FeCu.

Calculated formation energy (eV/atom): 0.155
DOS at the Fermi energy (states/eV/f.u.): 4.01
M_tot (μB per formula unit): 0.87
Space group: F-43m, No. 216

Cell: 4.5407 4.5407 4.5407 Å, 60.00 60.00 60.00°
With the nearest neighbours (Å) after each atom.
Fractional coordinates of all 4 atoms:
Zr: 0.2500 0.2500 0.2500  4 Zr 2.78, 4 Cu 2.78
Zr: 0.0000 0.0000 0.0000  4 Fe 2.78, 4 Zr 2.78
Cu: 0.5000 0.5000 0.5000  4 Zr 2.78, 4 Fe 2.78
Fe: 0.7500 0.7500 0.7500  4 Zr 2.78, 4 Cu 2.78

***

# 10
DFT (PBE) results for a relaxed structure of Zr2FeCu.

Calculated formation energy (eV/atom): 0.289
DOS at the Fermi energy (states/eV/f.u.): 4.15
M_tot (μB per formula unit): 0.00
Space group: I-42d, No. 122

Cell: 7.0939 7.0939 5.7439 Å, 51.87 51.87 90.00°
With the nearest neighbours (Å) after each atom.
Fractional coordinates of all 8 atoms:
Zr: 0.1475 0.6250 0.2500  2 Fe 2.50, 2 Cu 2.71
Zr: 0.6025 0.1250 0.2500  2 Fe 2.50, 2 Cu 2.71
Zr: 0.8750 0.8525 0.7500  2 Fe 2.50, 2 Cu 2.71
Zr: 0.3750 0.3975 0.7500  2 Fe 2.50, 2 Cu 2.71
Fe: 0.5000 0.5000 0.0000  4 Zr 2.50
Fe: 0.2500 0.7500 0.5000  4 Zr 2.50
Cu: 0.7500 0.2500 0.5000  4 Zr 2.71, 2 Fe 2.80
Cu: 0.0000 0.0000 0.0000  4 Zr 2.71, 2 Fe 2.80

***

# 11
DFT (PBE) results for a relaxed structure of ZrFeCu2.

Calculated formation energy (eV/atom): 0.067
DOS at the Fermi energy (states/eV/f.u.): 4.02
M_tot (μB per formula unit): 2.23
Space group: P2/m, No. 10

Cell: 3.6031 2.7427 6.5003 Å, 65.30 90.00 90.00°
With the nearest neighbours (Å) after each atom.
Fractional coordinates of all 4 atoms:
Zr: 0.5000 0.7500 0.7500  2 Zr 2.74, 8 Cu 2.84-2.85, 2 Fe 2.95
Fe: 0.5000 0.2500 0.2500  8 Cu 2.58, 2 Fe 2.74
Cu: 0.0000 0.5413 0.4588  3 Cu 2.47-2.74, 4 Fe 2.58
Cu: 0.0000 0.9587 0.0412  3 Cu 2.47-2.74, 4 Fe 2.58

***

# 12
DFT (PBE) results for a relaxed structure of Zr3Fe2Cu.

Calculated formation energy (eV/atom): -0.158
DOS at the Fermi energy (states/eV/f.u.): 5.84
Distance to the lowest polymorph of the same formula (eV/atom): 0.000
M_tot (μB per formula unit): 0.53
Space group: P4/mmm, No. 123

Cell: 3.1891 3.1891 9.7935 Å, 90.00 90.00 90.00°
With the nearest neighbours (Å) after each atom.
Fractional coordinates of all 6 atoms:
Zr: 0.0000 0.0000 0.3228  4 Fe 2.74, 4 Cu 2.85
Zr: 0.0000 0.0000 0.0000  8 Fe 2.77
Zr: 0.0000 0.0000 0.6772  4 Fe 2.74, 4 Cu 2.85
Fe: 0.5000 0.5000 0.1637  8 Zr 2.74-2.77
Fe: 0.5000 0.5000 0.8363  8 Zr 2.74-2.77
Cu: 0.5000 0.5000 0.5000  8 Zr 2.85